OsW2Au, relaxed, DFT GGA-PBE; spin magnetization = 0.00 μB/f.u.; E_form = 114 kJ/mol of formula units; SG = I4/mmm, No. 139
1.0
-1.972 1.972 4.052
1.972 -1.972 4.052
1.972 1.972 -4.052
Os W Au
1 2 1
Cartesian
0.000 0.000 0.000
1.972 0.000 2.026
0.000 1.972 2.026
0.000 0.000 4.052